1.
Here is Mn2V4Cu after structural relaxation from Alexandria via LeMat-Bulk. Energies are from PBE.

Computed properties:
The calculated total energy comes out at -7.3838 eV per atom. For the magnetization, the calculation gives 0.9 μB/f.u. The value obtained for the formation energy is 1.03 eV per atom.

Unit cell a=4.3574 b=4.3574 c=11.5679 alpha=90.00 beta=90.00 gamma=90.00
Space group I4/mmm (No. 139)
Inequivalent atoms, fractional coordinates:
Mn: 0.0000 0.0000 0.1157 x4
V: 0.0000 0.0000 0.2950 x4
V: 0.0000 0.5000 0.0000 x4
Cu: 0.0000 0.0000 0.5000 x2

***

2.
Here is Mn2VCu2 after structural relaxation from Alexandria via LeMat-Bulk. Energies are from PBE.

Computed properties:
The calculated total energy comes out at -6.8624 eV per atom. For the magnetization, the calculation gives 4.2 μB/f.u. The value obtained for the formation energy is 0.27 eV per atom.

Unit cell a=6.9083 b=6.9083 c=2.8539 alpha=90.00 beta=90.00 gamma=90.00
Space group P4/mbm (No. 127)
Inequivalent atoms, fractional coordinates:
Mn: 0.1751 0.3249 0.0000 x4
V: 0.0000 0.0000 0.5000 x2
Cu: 0.1235 0.6235 0.5000 x4

***

3.
Here is MnV3Cu after structural relaxation from Alexandria via LeMat-Bulk. Energies are from PBE.

Computed properties:
The calculated total energy comes out at -6.8194 eV per atom. For the magnetization, the calculation gives 0.1 μB/f.u. The value obtained for the formation energy is 1.30 eV per atom.

Unit cell a=4.4239 b=4.4239 c=4.4239 alpha=90.00 beta=90.00 gamma=90.00
Space group Pm-3m (No. 221)
Inequivalent atoms, fractional coordinates:
Mn: 0.0000 0.0000 0.0000 x1
V: 0.0000 0.5000 0.5000 x3
Cu: 0.5000 0.5000 0.5000 x1

***

4.
Here is Mn2VCu after structural relaxation from Alexandria via LeMat-Bulk. Energies are from PBE.

Computed properties:
The calculated total energy comes out at -7.8697 eV per atom. For the magnetization, the calculation gives 3.7 μB/f.u. The value obtained for the formation energy is 0.02 eV per atom.

Unit cell a=3.9510 b=3.9510 c=3.2217 alpha=90.00 beta=90.00 gamma=90.00
Space group P4/mmm (No. 123)
Inequivalent atoms, fractional coordinates:
Mn: 0.0000 0.5000 0.0000 x2
V: 0.0000 0.0000 0.5000 x1
Cu: 0.5000 0.5000 0.5000 x1

***

5.
Here is Mn2V2Cu after structural relaxation from Alexandria via LeMat-Bulk. Energies are from PBE.

Computed properties:
The calculated total energy comes out at -7.9676 eV per atom. For the magnetization, the calculation gives 1.2 μB/f.u. The value obtained for the formation energy is 0.17 eV per atom.

Unit cell a=6.6564 b=6.6564 c=2.8589 alpha=90.00 beta=90.00 gamma=90.00
Space group P4/mbm (No. 127)
Inequivalent atoms, fractional coordinates:
Mn: 0.1396 0.3604 0.0000 x4
V: 0.1628 0.6628 0.5000 x4
Cu: 0.0000 0.0000 0.0000 x2

***

6.
Here is MnV3Cu after structural relaxation from Alexandria via LeMat-Bulk. Energies are from PBE.

Computed properties:
The calculated total energy comes out at -7.2695 eV per atom. For the magnetization, the calculation gives 0.0 μB/f.u. The value obtained for the formation energy is 0.85 eV per atom.

Unit cell a=4.2711 b=4.2711 c=4.2711 alpha=90.00 beta=90.00 gamma=90.00
Space group Pm-3m (No. 221)
Inequivalent atoms, fractional coordinates:
Mn: 0.0000 0.0000 0.0000 x1
V: 0.0000 0.0000 0.5000 x3
Cu: 0.5000 0.5000 0.5000 x1

***

Repeat the fourth record exactly.
Here is Mn2VCu after structural relaxation from Alexandria via LeMat-Bulk. Energies are from PBE.

Computed properties:
The calculated total energy comes out at -7.8697 eV per atom. For the magnetization, the calculation gives 3.7 μB/f.u. The value obtained for the formation energy is 0.02 eV per atom.

Unit cell a=3.9510 b=3.9510 c=3.2217 alpha=90.00 beta=90.00 gamma=90.00
Space group P4/mmm (No. 123)
Inequivalent atoms, fractional coordinates:
Mn: 0.0000 0.5000 0.0000 x2
V: 0.0000 0.0000 0.5000 x1
Cu: 0.5000 0.5000 0.5000 x1

***

> Look up the magnetization of the first one.

0.9 μB/f.u.

***

> Which formula does entry 4 have?

Mn2VCu